This record from the Alexandria database describes a relaxed CdTcH2 crystal. The functional is PBE. Values from VASP.

```
&SYSTEM
  ibrav = 0, nat = 8, ntyp = 3
/
ATOMIC_SPECIES
H 1.01 H.upf
Tc 98.00 Tc.upf
Cd 112.41 Cd.upf
ATOMIC_POSITIONS crystal
H 0.5276 0.1250 0.2500
H 0.2224 0.6250 0.2500
H 0.3750 0.4724 0.7500
H 0.8750 0.7776 0.7500
Tc 0.5000 0.5000 0.0000
Tc 0.2500 0.7500 0.5000
Cd 0.0000 0.0000 0.0000
Cd 0.7500 0.2500 0.5000
CELL_PARAMETERS angstrom
-2.5062 1.1484 3.2600
-3.3771 0.0437 -2.6116
-3.7820 -4.0991 1.3322
```

Values from the calculation:
As for the calculated density: 7.94 g/cm3.

---

This record from the Alexandria database describes a relaxed Ac2PrZn crystal. The functional is PBE. Values from VASP.

```
&SYSTEM
  ibrav = 0, nat = 4, ntyp = 3
/
ATOMIC_SPECIES
Pr 140.91 Pr.upf
Ac 227.00 Ac.upf
Zn 65.41 Zn.upf
ATOMIC_POSITIONS crystal
Pr 0.0000 0.0000 0.0000
Ac 0.1007 0.1007 0.6979
Ac 0.8993 0.8993 0.3021
Zn 0.5000 0.5000 0.5000
CELL_PARAMETERS angstrom
-3.7744 -0.2304 -0.1185
-1.7047 -1.6085 -2.9699
-1.3422 -11.4080 4.5392
```

Values from the calculation:
The energy of formation is 184.8 meV per atom. As for the calculated density: 7.28 g/cm3.

---

This record from the Alexandria database describes a relaxed P2Rh2Br crystal. The functional is PBE. Values from VASP.

```
&SYSTEM
  ibrav = 0, nat = 10, ntyp = 3
/
ATOMIC_SPECIES
P 30.97 P.upf
Rh 102.91 Rh.upf
Br 79.90 Br.upf
ATOMIC_POSITIONS crystal
P 0.3769 0.8769 0.0000
P 0.8769 0.6231 0.0000
P 0.6231 0.1231 0.0000
P 0.1231 0.3769 0.0000
Rh 0.1261 0.6261 0.5000
Rh 0.6261 0.8739 0.5000
Rh 0.8739 0.3739 0.5000
Rh 0.3739 0.1261 0.5000
Br 0.0000 0.0000 0.0000
Br 0.5000 0.5000 0.0000
CELL_PARAMETERS angstrom
-7.2147 -0.7160 -2.4754
-0.6195 -6.6617 3.7323
-0.9728 1.4448 2.4174
```

Values from the calculation:
As for the formation energy from raw total energies: 0.099 eV per atom. As for the calculated density: 6.60 g/cm3.

---

This record from the Alexandria database describes a relaxed YMoN3 crystal. The functional is PBE. Values from VASP.

```
&SYSTEM
  ibrav = 0, nat = 10, ntyp = 3
/
ATOMIC_SPECIES
Y 88.91 Y.upf
Mo 95.94 Mo.upf
N 14.01 N.upf
ATOMIC_POSITIONS crystal
Y 0.3839 0.1021 0.2493
Y 0.6237 0.6104 0.6234
Mo 0.9780 0.5516 0.2715
Mo 0.0212 0.0478 0.5409
N 0.0992 0.1979 0.1549
N 0.9015 0.4149 0.6647
N 0.5158 0.3410 0.9347
N 0.3637 0.7787 0.5777
N 0.8117 0.8174 0.3206
N 0.1985 0.7920 0.5018
CELL_PARAMETERS angstrom
7.9655 -0.0077 -0.0077
-0.3144 5.6885 0.0114
-0.7493 -1.0987 3.1938
```

Values from the calculation:
As for the formation energy from raw total energies: -0.628 eV per atom. As for the calculated density: 5.20 g/cm3.

---

This record from the Alexandria database describes a relaxed FeTeP2 crystal. The functional is PBE. Values from VASP.

```
&SYSTEM
  ibrav = 0, nat = 4, ntyp = 3
/
ATOMIC_SPECIES
Fe 55.84 Fe.upf
P 30.97 P.upf
Te 127.60 Te.upf
ATOMIC_POSITIONS crystal
Fe 0.2498 0.2498 0.1483
P 0.9634 0.9634 0.0723
P 0.7680 0.7680 0.8762
Te 0.5187 0.5187 0.4032
CELL_PARAMETERS angstrom
3.9579 0.0339 -0.0188
2.4940 3.0735 -0.0188
0.9763 0.4702 6.5632
```

Values from the calculation:
As for the formation energy from raw total energies: 0.063 eV per atom. As for the calculated density: 5.14 g/cm3.

---

This record from the Alexandria database describes a relaxed CeSm2GeN4 crystal. The functional is PBE. Values from VASP.

```
&SYSTEM
  ibrav = 0, nat = 16, ntyp = 4
/
ATOMIC_SPECIES
Ce 140.12 Ce.upf
Sm 150.36 Sm.upf
Ge 72.64 Ge.upf
N 14.01 N.upf
ATOMIC_POSITIONS crystal
Ce 0.0979 0.1958 0.7500
Ce 0.9021 0.8042 0.2500
Sm 0.3692 0.7383 0.5442
Sm 0.6308 0.2617 0.0442
Sm 0.6308 0.2617 0.4558
Sm 0.3692 0.7383 0.9558
Ge 0.8347 0.6694 0.7500
Ge 0.1653 0.3306 0.2500
N 0.2727 0.5454 0.1312
N 0.7273 0.4546 0.6312
N 0.7273 0.4546 0.8688
N 0.2727 0.5454 0.3688
N 0.0000 0.0000 0.5000
N 0.0000 0.0000 0.0000
N 0.4210 0.8421 0.7500
N 0.5790 0.1579 0.2500
CELL_PARAMETERS angstrom
3.5815 0.0000 0.0000
-1.7907 5.8150 0.0000
0.0000 0.0000 11.9438
```

Values from the calculation:
As for the formation energy from raw total energies: -0.951 eV per atom. As for the calculated density: 7.60 g/cm3.

---

This record from the Alexandria database describes a relaxed U5P4N crystal. The functional is PBE. Values from VASP.

```
&SYSTEM
  ibrav = 0, nat = 10, ntyp = 3
/
ATOMIC_SPECIES
U 238.03 U.upf
P 30.97 P.upf
N 14.01 N.upf
ATOMIC_POSITIONS crystal
U 0.9069 0.3681 0.8201
U 0.2750 0.8201 0.6319
U 0.7270 0.1799 0.3681
U 0.0952 0.6319 0.1799
U 0.5010 0.0000 0.0000
P 0.4124 0.3941 0.7832
P 0.8065 0.7832 0.6059
P 0.1956 0.2168 0.3941
P 0.5897 0.6059 0.2168
N 0.0011 0.0000 0.0000
CELL_PARAMETERS angstrom
5.4729 0.0000 0.0000
2.7364 6.0331 0.0000
2.7364 0.0000 6.0331
```

Values from the calculation:
As for the formation energy from raw total energies: -0.940 eV per atom. As for the calculated density: 11.07 g/cm3.

---

This record from the Alexandria database describes a relaxed LiAc4Np3N8 crystal. The functional is PBE. Values from VASP.

```
&SYSTEM
  ibrav = 0, nat = 16, ntyp = 4
/
ATOMIC_SPECIES
Li 6.94 Li.upf
Ac 227.00 Ac.upf
Np 237.00 Np.upf
N 14.01 N.upf
ATOMIC_POSITIONS crystal
Li 0.0000 0.5000 0.0000
Ac 0.5000 0.0000 0.0000
Ac 0.5000 0.0000 0.5000
Ac 0.0000 0.0000 0.0000
Ac 0.0000 0.0000 0.5000
Np 0.5000 0.5000 0.0000
Np 0.5000 0.5000 0.5000
Np 0.0000 0.5000 0.5000
N 0.2470 0.6950 0.9481
N 0.2469 0.6950 0.4939
N 0.2682 0.3048 0.5365
N 0.7011 0.6950 0.9481
N 0.2989 0.3050 0.0519
N 0.7318 0.6952 0.4635
N 0.7531 0.3050 0.5061
N 0.7530 0.3050 0.0519
CELL_PARAMETERS angstrom
7.1422 0.0000 0.0000
0.0000 7.3283 0.1239
-3.5711 -3.5662 5.0544
```

Values from the calculation:
As for the formation energy from raw total energies: -0.936 eV per atom. As for the calculated density: 10.78 g/cm3.

---

Q: Which total energy values were calculated for the entries above? A: -4.106, -3.383, -5.340, -9.082, -5.543, -7.612, -9.580, -8.671, in eV/atom.
Q: Which volume values were calculated for the entries above? A: 11.1, 37.7, 17.5, 14.5, 19.8, 15.5, 19.9, 16.7, in Å³/atom.
Q: Which size of the total moment values were calculated for the entries above? A: 1.3, 0.5, 0.0, 0.0, 0.0, 1.0, 9.6, 6.6, in μB per formula unit.